This record from Alexandria via LeMat-Bulk describes Y2Zn5Ir5 after structural relaxation. The functional is PBE-GGA.

Lattice parameters (Å, degrees): 4.078 5.552 9.072 90.00 90.00 90.00
Space group Pmmm (No. 47)
Unique sites:
Y 0.000 0.000 0.000 (multiplicity 1)
Y 0.000 0.500 0.500 (multiplicity 1)
Zn 0.000 0.000 0.329 (multiplicity 2)
Zn 0.000 0.500 0.170 (multiplicity 2)
Zn 0.500 0.000 0.500 (multiplicity 1)
Ir 0.500 0.246 0.252 (multiplicity 4)
Ir 0.500 0.500 0.000 (multiplicity 1)

Computed properties:
**DOS(E_F)**: 8.18 states/eV/f.u.
**Calculated formation energy**: -429.4 meV/atom
**Final energy**: -5.73 eV/atom

---

This record from Alexandria via LeMat-Bulk describes YZnIr2 after structural relaxation. The functional is PBE-GGA.

Lattice parameters (Å, degrees): 10.327 3.077 4.803 90.00 114.30 90.00
Space group Cm (No. 8)
Unique sites:
Y 0.000 0.000 0.000 (multiplicity 2)
Zn 0.217 0.000 0.636 (multiplicity 2)
Ir 0.259 0.500 0.133 (multiplicity 2)
Ir 0.482 0.000 0.501 (multiplicity 2)

Computed properties:
**DOS(E_F)**: 2.25 states/eV/f.u.
**Calculated formation energy**: -300.5 meV/atom
**Final energy**: -6.67 eV/atom

---

This record from Alexandria via LeMat-Bulk describes Y3Zn8Ir after structural relaxation. The functional is PBE-GGA.

Lattice parameters (Å, degrees): 5.2553 5.2553 26.8665 90.00 90.00 120.00
Space group R3m (No. 160, hexagonal axes)
Unique sites:
Y 0.0000 0.0000 0.0000 (multiplicity 3)
Y 0.0000 0.0000 0.1266 (multiplicity 3)
Y 0.0000 0.0000 0.5166 (multiplicity 3)
Zn 0.0000 0.0000 0.3170 (multiplicity 3)
Zn 0.0000 0.0000 0.8193 (multiplicity 3)
Zn 0.1675 0.3350 0.9039 (multiplicity 9)
Zn 0.1683 0.3367 0.3985 (multiplicity 9)
Ir 0.0000 0.0000 0.6218 (multiplicity 3)

Computed properties:
**DOS(E_F)**: 6.85 states/eV/f.u.
**Calculated formation energy**: -326.3 meV/atom
**Final energy**: -3.53 eV/atom

---

This record from Alexandria via LeMat-Bulk describes Y6Zn5Ir after structural relaxation. The functional is PBE-GGA.

Lattice parameters (Å, degrees): 5.015 15.041 7.123 90.00 90.00 90.00
Space group Cmmm (No. 65)
Unique sites:
Y 0.000 0.000 0.240 (multiplicity 4)
Y 0.000 0.339 0.245 (multiplicity 8)
Zn 0.000 0.168 0.500 (multiplicity 4)
Zn 0.000 0.175 0.000 (multiplicity 4)
Zn 0.000 0.500 0.500 (multiplicity 2)
Ir 0.000 0.500 0.000 (multiplicity 2)

Computed properties:
**DOS(E_F)**: 8.17 states/eV/f.u.
**Calculated formation energy**: -466.8 meV/atom
**Final energy**: -4.97 eV/atom

---

This record from Alexandria via LeMat-Bulk describes YZn2Ir2 after structural relaxation. The functional is PBE-GGA.

Lattice parameters (Å, degrees): 4.036 4.036 11.275 90.00 90.00 90.00
Space group I4/mmm (No. 139)
Unique sites:
Y 0.000 0.000 0.000 (multiplicity 2)
Zn 0.000 0.500 0.250 (multiplicity 4)
Ir 0.000 0.000 0.391 (multiplicity 4)

Computed properties:
**Energy relative to the lowest polymorph listed for this composition**: 0 meV per atom
**DOS(E_F)**: 2.55 states/eV/f.u.
**Calculated formation energy**: -436.4 meV/atom
**Final energy**: -5.78 eV/atom

---

This record from Alexandria via LeMat-Bulk describes YZnIr2 after structural relaxation. The functional is PBE-GGA.

Lattice parameters (Å, degrees): 3.1255 3.1255 24.9713 90.00 90.00 120.00
Space group R-3m (No. 166, hexagonal axes)
Unique sites:
Y 0.0000 0.0000 0.0000 (multiplicity 3)
Zn 0.0000 0.0000 0.5000 (multiplicity 3)
Ir 0.0000 0.0000 0.2443 (multiplicity 6)

Computed properties:
**DOS(E_F)**: 1.87 states/eV/f.u.
**Calculated formation energy**: -30.8 meV/atom
**Final energy**: -6.40 eV/atom

---

This record from Alexandria via LeMat-Bulk describes Y2Zn16Ir after structural relaxation. The functional is PBE-GGA.

Lattice parameters (Å, degrees): 8.9615 8.9615 13.1459 90.00 90.00 120.00
Space group R3m (No. 160, hexagonal axes)
Unique sites:
Y 0.0000 0.0000 0.0000 (multiplicity 3)
Y 0.0000 0.0000 0.3333 (multiplicity 3)
Zn 0.0000 0.0000 0.7627 (multiplicity 3)
Zn 0.9996 0.2888 0.6590 (multiplicity 18)
Zn 0.0031 0.5016 0.8112 (multiplicity 9)
Zn 0.0060 0.5030 0.1597 (multiplicity 9)
Zn 0.1728 0.3456 0.8441 (multiplicity 9)
Ir 0.0000 0.0000 0.5610 (multiplicity 3)

Computed properties:
**DOS(E_F)**: 7.20 states/eV/f.u.
**Calculated formation energy**: -255.6 meV/atom
**Final energy**: -2.48 eV/atom

---

This record from Alexandria via LeMat-Bulk describes YZnIr2 after structural relaxation. The functional is PBE-GGA.

Lattice parameters (Å, degrees): 4.228 4.228 3.798 90.00 90.00 90.00
Space group P4/mmm (No. 123)
Unique sites:
Y 0.000 0.000 0.000 (multiplicity 1)
Zn 0.500 0.500 0.000 (multiplicity 1)
Ir 0.000 0.500 0.500 (multiplicity 2)

Computed properties:
**DOS(E_F)**: 2.46 states/eV/f.u.
**Calculated formation energy**: -436.8 meV/atom
**Final energy**: -6.80 eV/atom

---

This record from Alexandria via LeMat-Bulk describes Y4ZnIr after structural relaxation. The functional is PBE-GGA.

Lattice parameters (Å, degrees): 13.493 13.493 13.493 90.00 90.00 90.00
Space group F-43m (No. 216)
Unique sites:
Y 0.000 0.000 0.187 (multiplicity 24)
Y 0.058 0.250 0.250 (multiplicity 24)
Y 0.103 0.103 0.603 (multiplicity 16)
Zn 0.172 0.172 0.828 (multiplicity 16)
Ir 0.107 0.107 0.393 (multiplicity 16)

Computed properties:
**Energy relative to the lowest polymorph listed for this composition**: 0 meV per atom
**DOS(E_F)**: 3.79 states/eV/f.u.
**Calculated formation energy**: -482.8 meV/atom
**Final energy**: -6.48 eV/atom

---

This record from Alexandria via LeMat-Bulk describes YZnIr2 after structural relaxation. The functional is PBE-GGA.

Lattice parameters (Å, degrees): 3.289 3.289 6.333 90.00 90.00 90.00
Space group P4/mmm (No. 123)
Unique sites:
Y 0.000 0.000 0.000 (multiplicity 1)
Zn 0.000 0.000 0.500 (multiplicity 1)
Ir 0.500 0.500 0.281 (multiplicity 2)

Computed properties:
**DOS(E_F)**: 1.52 states/eV/f.u.
**Calculated formation energy**: -410.0 meV/atom
**Final energy**: -6.78 eV/atom

---

This record from Alexandria via LeMat-Bulk describes YZn8Ir2 after structural relaxation. The functional is PBE-GGA.

Lattice parameters (Å, degrees): 6.297 6.297 5.257 90.00 90.00 90.00
Space group P4/mmm (No. 123)
Unique sites:
Y 0.000 0.000 0.000 (multiplicity 1)
Zn 0.290 0.290 0.254 (multiplicity 8)
Ir 0.000 0.500 0.500 (multiplicity 2)

Computed properties:
**DOS(E_F)**: 6.37 states/eV/f.u.
**Calculated formation energy**: 75.8 meV/atom
**Final energy**: -3.05 eV/atom

---

This record from Alexandria via LeMat-Bulk describes Y3ZnIr2 after structural relaxation. The functional is PBE-GGA.

Lattice parameters (Å, degrees): 11.622 4.071 11.478 90.00 90.00 90.00
Space group Pnma (No. 62)
Unique sites:
Y 0.047 0.250 0.124 (multiplicity 4)
Y 0.129 0.750 0.576 (multiplicity 4)
Y 0.201 0.250 0.824 (multiplicity 4)
Zn 0.124 0.250 0.381 (multiplicity 4)
Ir 0.010 0.750 0.310 (multiplicity 4)
Ir 0.185 0.750 0.999 (multiplicity 4)

Computed properties:
**DOS(E_F)**: 3.25 states/eV/f.u.
**Calculated formation energy**: -677.7 meV/atom
**Final energy**: -7.08 eV/atom

---

This record from Alexandria via LeMat-Bulk describes YZnIr2 after structural relaxation. The functional is PBE-GGA.

Lattice parameters (Å, degrees): 3.930 4.010 8.716 90.00 90.00 90.00
Space group Imm2 (No. 44)
Unique sites:
Y 0.000 0.000 0.000 (multiplicity 2)
Zn 0.000 0.500 0.752 (multiplicity 2)
Ir 0.000 0.000 0.500 (multiplicity 2)
Ir 0.000 0.500 0.248 (multiplicity 2)

Computed properties:
**DOS(E_F)**: 4.89 states/eV/f.u.
**Calculated formation energy**: -293.5 meV/atom
**Final energy**: -6.66 eV/atom

---

This record from Alexandria via LeMat-Bulk describes YZnIr2 after structural relaxation. The functional is PBE-GGA.

Lattice parameters (Å, degrees): 2.962 4.080 5.698 90.00 90.00 90.00
Space group Pmm2 (No. 25)
Unique sites:
Y 0.000 0.000 0.000 (multiplicity 1)
Zn 0.500 0.500 0.304 (multiplicity 1)
Ir 0.000 0.000 0.497 (multiplicity 1)
Ir 0.500 0.500 0.751 (multiplicity 1)

Computed properties:
**DOS(E_F)**: 4.03 states/eV/f.u.
**Calculated formation energy**: -234.7 meV/atom
**Final energy**: -6.60 eV/atom

---

This record from Alexandria via LeMat-Bulk describes YZnIr2 after structural relaxation. The functional is PBE-GGA.

Lattice parameters (Å, degrees): 2.9015 2.9015 28.4636 90.00 90.00 120.00
Space group R3m (No. 160, hexagonal axes)
Unique sites:
Y 0.0000 0.0000 0.0000 (multiplicity 3)
Zn 0.0000 0.0000 0.7617 (multiplicity 3)
Ir 0.0000 0.0000 0.2436 (multiplicity 3)
Ir 0.0000 0.0000 0.5025 (multiplicity 3)

Computed properties:
**DOS(E_F)**: 6.38 states/eV/f.u.
**Calculated formation energy**: 240.0 meV/atom
**Final energy**: -6.13 eV/atom

---

This record from Alexandria via LeMat-Bulk describes Y3Zn2Ir after structural relaxation. The functional is PBE-GGA.

Lattice parameters (Å, degrees): 12.051 4.393 10.731 90.00 90.00 90.00
Space group Pnma (No. 62)
Unique sites:
Y 0.053 0.250 0.118 (multiplicity 4)
Y 0.111 0.750 0.558 (multiplicity 4)
Y 0.237 0.250 0.793 (multiplicity 4)
Zn 0.006 0.750 0.296 (multiplicity 4)
Zn 0.197 0.750 0.001 (multiplicity 4)
Ir 0.120 0.250 0.372 (multiplicity 4)

Computed properties:
**DOS(E_F)**: 5.09 states/eV/f.u.
**Calculated formation energy**: -504.4 meV/atom
**Final energy**: -5.64 eV/atom

---

This record from Alexandria via LeMat-Bulk describes YZn2Ir2 after structural relaxation. The functional is PBE-GGA.

Lattice parameters (Å, degrees): 7.401 7.401 3.067 90.00 90.00 90.00
Space group P4/mbm (No. 127)
Unique sites:
Y 0.000 0.000 0.000 (multiplicity 2)
Zn 0.151 0.349 0.500 (multiplicity 4)
Ir 0.144 0.644 0.000 (multiplicity 4)

Computed properties:
**Energy relative to the lowest polymorph listed for this composition**: 87 meV per atom
**DOS(E_F)**: 1.46 states/eV/f.u.
**Calculated formation energy**: -349.4 meV/atom
**Final energy**: -5.70 eV/atom

---

This record from Alexandria via LeMat-Bulk describes Y4ZnIr after structural relaxation. The functional is PBE-GGA.

Lattice parameters (Å, degrees): 8.480 8.480 8.480 90.00 90.00 90.00
Space group F-43m (No. 216)
Unique sites:
Y 0.124 0.124 0.376 (multiplicity 16)
Zn 0.000 0.000 0.000 (multiplicity 4)
Ir 0.250 0.250 0.750 (multiplicity 4)

Computed properties:
**Energy relative to the lowest polymorph listed for this composition**: 1120 meV per atom
**DOS(E_F)**: 9.02 states/eV/f.u.
**Calculated formation energy**: 636.8 meV/atom
**Final energy**: -5.36 eV/atom

---

This record from Alexandria via LeMat-Bulk describes YZnIr2 after structural relaxation. The functional is PBE-GGA.

Lattice parameters (Å, degrees): 4.405 4.405 17.454 90.00 90.00 90.00
Space group I-42d (No. 122)
Unique sites:
Y 0.000 0.000 0.000 (multiplicity 4)
Zn 0.000 0.000 0.500 (multiplicity 4)
Ir 0.128 0.250 0.625 (multiplicity 8)

Computed properties:
**DOS(E_F)**: 2.48 states/eV/f.u.
**Calculated formation energy**: -85.0 meV/atom
**Final energy**: -6.45 eV/atom

---

This record from Alexandria via LeMat-Bulk describes YZnIr2 after structural relaxation. The functional is PBE-GGA.

Lattice parameters (Å, degrees): 5.797 9.050 2.937 90.00 117.43 90.00
Space group C2/m (No. 12)
Unique sites:
Y 0.000 0.000 0.000 (multiplicity 2)
Zn 0.000 0.500 0.000 (multiplicity 2)
Ir 0.250 0.250 0.500 (multiplicity 4)

Computed properties:
**DOS(E_F)**: 1.88 states/eV/f.u.
**Calculated formation energy**: -160.4 meV/atom
**Final energy**: -6.53 eV/atom